1.
First-principles (PBE) data for crystalline TbY2Pd8 at its relaxed geometry, as listed in Alexandria via LeMat-Bulk.

Values from the calculation:
The calculation puts the theoretical density at 9.8 g/cm³. The space group is C2/m. The formation enthalpy at 0 K comes out at -743 meV/atom. The raw total energy is -6.116 eV/atom. The density of states at the Fermi level is 5.07 states/eV per cell.

```
data_TbY2Pd8
_cell_length_a 7.723
_cell_length_b 7.723
_cell_length_c 6.780
_cell_angle_alpha 107.81
_cell_angle_beta 107.81
_cell_angle_gamma 31.78
_symmetry_space_group_name_H-M 'P 1'
_symmetry_Int_Tables_number 1
_symmetry_space_group_name_Hall 'P 1'
loop_
_atom_site_label
_atom_site_type_symbol
_atom_site_fract_x
_atom_site_fract_y
_atom_site_fract_z
_atom_site_occupancy
Tb1 Tb 0.000 0.000 0.000 1
Y1 Y 0.282 0.282 0.334 1
Y2 Y 0.718 0.718 0.666 1
Pd1 Pd 0.090 0.090 0.451 1
Pd2 Pd 0.177 0.177 0.906 1
Pd3 Pd 0.359 0.359 0.822 1
Pd4 Pd 0.463 0.463 0.283 1
Pd5 Pd 0.537 0.537 0.717 1
Pd6 Pd 0.641 0.641 0.178 1
Pd7 Pd 0.823 0.823 0.094 1
Pd8 Pd 0.910 0.910 0.549 1
```

2.
First-principles (PBE) data for crystalline Tb3YPd12 at its relaxed geometry, as listed in Alexandria via LeMat-Bulk.

Values from the calculation:
The calculation puts the theoretical density at 10.8 g/cm³. The space group is P4/mmm. The formation enthalpy at 0 K comes out at -861 meV/atom. The raw total energy is -6.028 eV/atom. The density of states at the Fermi level is 11.50 states/eV per cell.

```
data_Tb3YPd12
_cell_length_a 4.124
_cell_length_b 4.124
_cell_length_c 16.609
_cell_angle_alpha 90.00
_cell_angle_beta 90.00
_cell_angle_gamma 90.00
_symmetry_space_group_name_H-M 'P 1'
_symmetry_Int_Tables_number 1
_symmetry_space_group_name_Hall 'P 1'
loop_
_atom_site_label
_atom_site_type_symbol
_atom_site_fract_x
_atom_site_fract_y
_atom_site_fract_z
_atom_site_occupancy
Tb1 Tb 0.000 0.000 0.000 1
Tb2 Tb 0.000 0.000 0.250 1
Tb3 Tb 0.000 0.000 0.750 1
Y1 Y 0.000 0.000 0.500 1
Pd1 Pd 0.000 0.500 0.125 1
Pd2 Pd 0.000 0.500 0.375 1
Pd3 Pd 0.000 0.500 0.625 1
Pd4 Pd 0.000 0.500 0.875 1
Pd5 Pd 0.500 0.000 0.125 1
Pd6 Pd 0.500 0.000 0.375 1
Pd7 Pd 0.500 0.000 0.625 1
Pd8 Pd 0.500 0.000 0.875 1
Pd9 Pd 0.500 0.500 0.000 1
Pd10 Pd 0.500 0.500 0.250 1
Pd11 Pd 0.500 0.500 0.500 1
Pd12 Pd 0.500 0.500 0.750 1
```

3.
First-principles (PBE) data for crystalline TbY5Pd2 at its relaxed geometry, as listed in Alexandria via LeMat-Bulk.

Values from the calculation:
The calculation puts the theoretical density at 5.9 g/cm³. The space group is Cmcm. The formation enthalpy at 0 K comes out at -367 meV/atom. The raw total energy is -6.284 eV/atom. The density of states at the Fermi level is 21.95 states/eV per cell.

```
data_TbY5Pd2
_cell_length_a 6.892
_cell_length_b 6.892
_cell_length_c 18.423
_cell_angle_alpha 90.00
_cell_angle_beta 90.00
_cell_angle_gamma 148.11
_symmetry_space_group_name_H-M 'P 1'
_symmetry_Int_Tables_number 1
_symmetry_space_group_name_Hall 'P 1'
loop_
_atom_site_label
_atom_site_type_symbol
_atom_site_fract_x
_atom_site_fract_y
_atom_site_fract_z
_atom_site_occupancy
Tb1 Tb 0.214 0.786 0.750 1
Tb2 Tb 0.786 0.214 0.250 1
Y1 Y 0.057 0.943 0.250 1
Y2 Y 0.169 0.831 0.556 1
Y3 Y 0.169 0.831 0.944 1
Y4 Y 0.445 0.555 0.587 1
Y5 Y 0.445 0.555 0.913 1
Y6 Y 0.555 0.445 0.087 1
Y7 Y 0.555 0.445 0.413 1
Y8 Y 0.831 0.169 0.056 1
Y9 Y 0.831 0.169 0.444 1
Y10 Y 0.943 0.057 0.750 1
Pd1 Pd 0.210 0.790 0.137 1
Pd2 Pd 0.210 0.790 0.363 1
Pd3 Pd 0.790 0.210 0.637 1
Pd4 Pd 0.790 0.210 0.863 1
```

4.
First-principles (PBE) data for crystalline Tb4YPd2 at its relaxed geometry, as listed in Alexandria via LeMat-Bulk.

Values from the calculation:
The calculation puts the theoretical density at 8.3 g/cm³. The space group is P2_1/m. The formation enthalpy at 0 K comes out at -428 meV/atom. The raw total energy is -5.481 eV/atom. The density of states at the Fermi level is 16.90 states/eV per cell. Its excess energy over the best structure of this formula in the dataset is 0 meV per atom.

```
data_Tb4YPd2
_cell_length_a 7.865
_cell_length_b 6.393
_cell_length_c 8.141
_cell_angle_alpha 90.00
_cell_angle_beta 112.81
_cell_angle_gamma 90.00
_symmetry_space_group_name_H-M 'P 1'
_symmetry_Int_Tables_number 1
_symmetry_space_group_name_Hall 'P 1'
loop_
_atom_site_label
_atom_site_type_symbol
_atom_site_fract_x
_atom_site_fract_y
_atom_site_fract_z
_atom_site_occupancy
Tb1 Tb 0.020 0.250 0.390 1
Tb2 Tb 0.246 0.750 0.348 1
Tb3 Tb 0.408 0.005 0.772 1
Tb4 Tb 0.408 0.495 0.772 1
Tb5 Tb 0.592 0.505 0.228 1
Tb6 Tb 0.592 0.995 0.228 1
Tb7 Tb 0.754 0.250 0.652 1
Tb8 Tb 0.980 0.750 0.610 1
Y1 Y 0.155 0.250 0.025 1
Y2 Y 0.845 0.750 0.975 1
Pd1 Pd 0.236 0.750 0.992 1
Pd2 Pd 0.381 0.250 0.419 1
Pd3 Pd 0.619 0.750 0.581 1
Pd4 Pd 0.764 0.250 0.008 1
```